1.
Below is CoRhAuS2 after structural relaxation, with properties calculated at the PBE level.

Computed properties:
Total DFT energy (no corrections), eV for the cell shown: -18.898

a b c (Å): 4.7279 4.7279 4.7105
angles (deg): 90.00 90.00 90.00
With the nearest neighbours (Å) after each atom.
Space group P4/mmm (No. 123)
One atom of each set of equivalent atoms:
Co1 0.0000 0.0000 0.0000  2 Au 2.36
Rh1 0.5000 0.5000 0.0000  8 S 3.34, 4 Co 3.34
Au1 0.0000 0.0000 0.5000  2 Co 2.36, 4 S 2.36
S1 0.0000 0.5000 0.5000  2 Au 2.36

---

2.
Below is CuH2O2 after structural relaxation, with properties calculated at the PBE level.

Computed properties:
Total DFT energy (no corrections), eV for the cell shown: -48.887

a b c (Å): 6.1721 2.9314 5.7883
angles (deg): 90.00 114.00 90.00
With the nearest neighbours (Å) after each atom.
Space group C2/m (No. 12)
One atom of each set of equivalent atoms:
Cu1 0.0000 0.0000 0.0000  4 O 1.96
H1 0.2307 0.0000 0.6486  1 O 0.98
O1 0.0990 0.5000 0.2446  1 H 0.98

---

3.
Below is KBa2Re after structural relaxation, with properties calculated at the PBE level.

Computed properties:
Formation energy, eV/atom: 1.270

a b c (Å): 8.4162 8.4162 8.4162
angles (deg): 90.00 90.00 90.00
With the nearest neighbours (Å) after each atom.
Space group F-43m (No. 216)
One atom of each set of equivalent atoms:
K1 0.0000 0.0000 0.0000  4 Ba 3.64, 4 Re 3.64
Ba1 0.0000 0.0000 0.5000  4 Ba 3.64, 4 Re 3.64
Ba2 0.2500 0.2500 0.2500  4 Ba 3.64, 4 K 3.64
Re1 0.2500 0.2500 0.7500  4 Ba 3.64, 4 K 3.64

---

4.
Below is Tb3Nd4Pt4 after structural relaxation, with properties calculated at the PBE level.

Computed properties:
Formation energy, eV/atom: -0.793

a b c (Å): 3.8850 9.0078 16.6237
angles (deg): 90.00 90.00 90.00
With the nearest neighbours (Å) after each atom.
Space group Immm (No. 71)
One atom of each set of equivalent atoms:
Tb1 0.0000 0.0000 0.0000  4 Pt 3.41, 8 Nd 3.74
Tb2 0.0000 0.5000 0.0991  6 Pt 3.05-3.06, 1 Tb 3.30
Nd1 0.0000 0.3141 0.3362  4 Pt 2.95-3.10
Pt1 0.0000 0.0000 0.2594  6 Nd 3.02-3.10, 2 Tb 3.05
Pt2 0.0000 0.1885 0.5000  2 Nd 2.95, 4 Tb 3.06

---

5.
Below is Ga2SnCl after structural relaxation, with properties calculated at the PBE level.

Computed properties:
Total DFT energy (no corrections), eV for the cell shown: -12.601

a b c (Å): 5.4466 5.4466 3.1742
angles (deg): 90.00 90.00 90.00
With the nearest neighbours (Å) after each atom.
Space group P4/mmm (No. 123)
One atom of each set of equivalent atoms:
Ga1 0.0000 0.5000 0.0000  4 Cl 3.15, 4 Sn 3.15, 2 Ga 3.17
Sn1 0.0000 0.0000 0.5000  8 Ga 3.15, 2 Sn 3.17
Cl1 0.5000 0.5000 0.5000  8 Ga 3.15, 2 Cl 3.17

---

6.
Below is NiSbTe3 after structural relaxation, with properties calculated at the PBE level.

Computed properties:
Total DFT energy (no corrections), eV for the cell shown: -18.106

a b c (Å): 5.0449 5.0449 5.0449
angles (deg): 90.00 90.00 90.00
With the nearest neighbours (Å) after each atom.
Space group Pm-3m (No. 221)
One atom of each set of equivalent atoms:
Ni1 0.0000 0.0000 0.0000  6 Te 2.52
Sb1 0.5000 0.5000 0.5000  12 Te 3.57
Te1 0.0000 0.0000 0.5000  2 Ni 2.52

---

7.
Below is Li4Tl2Pb after structural relaxation, with properties calculated at the PBE level.

Computed properties:
Formation energy, eV/atom: -0.141

a b c (Å): 7.0528 7.0528 6.5821
angles (deg): 90.00 90.00 90.00
With the nearest neighbours (Å) after each atom.
Space group I4/mmm (No. 139)
One atom of each set of equivalent atoms:
Li1 0.2500 0.2500 0.2500  2 Pb 2.99, 4 Tl 2.99, 2 Li 3.29
Tl1 0.0000 0.5000 0.0000  8 Li 2.99, 2 Tl 3.29
Pb1 0.0000 0.0000 0.0000  8 Li 2.99

---

8.
Below is P3C after structural relaxation, with properties calculated at the PBE level.

Computed properties:
Formation energy, eV/atom: 0.481

a b c (Å): 3.1328 2.9916 14.7314
angles (deg): 90.00 90.00 90.00
With the nearest neighbours (Å) after each atom.
Space group Amm2 (No. 38)
One atom of each set of equivalent atoms:
P1 0.0000 0.0000 0.0000  2 C 1.80
P2 0.0000 0.0000 0.3115  1 C 1.78
P3 0.5000 0.0000 0.7564  4 P 2.31
C1 0.0000 0.0000 0.4326  3 P 1.78-1.80

---

9.
Below is SiOsPb2 after structural relaxation, with properties calculated at the PBE level.

Computed properties:
Total DFT energy (no corrections), eV for the cell shown: -40.334

a b c (Å): 9.3895 3.4171 5.3901
angles (deg): 90.00 98.10 90.00
With the nearest neighbours (Å) after each atom.
Space group C2/m (No. 12)
One atom of each set of equivalent atoms:
Si1 0.0000 0.0000 0.0000  2 Pb 2.79
Os1 0.0000 0.5000 0.5000  6 Pb 2.93-2.95, 4 Si 3.19
Pb1 0.2346 0.0000 0.7356  1 Si 2.79, 3 Os 2.93-2.95, 2 Pb 3.11

---

10.
Below is Rb3C after structural relaxation, with properties calculated at the PBE level.

Computed properties:
Formation energy, eV/atom: 1.249

a b c (Å): 5.8368 5.8368 8.0478
angles (deg): 90.00 90.00 90.00
With the nearest neighbours (Å) after each atom.
Space group P4mm (No. 99)
One atom of each set of equivalent atoms:
Rb1 0.0000 0.0000 0.0000  8 Rb 4.77-5.18, 4 C 4.98
Rb2 0.0000 0.5000 0.4689  2 C 3.08
C1 0.5000 0.5000 0.3457  4 Rb 3.08

---

11.
Below is Nd2CdSb4 after structural relaxation, with properties calculated at the PBE level.

Computed properties:
Total DFT energy (no corrections), eV for the cell shown: -31.862

a b c (Å): 4.3844 4.3844 10.7903
angles (deg): 90.00 90.00 90.00
With the nearest neighbours (Å) after each atom.
Space group P-4m2 (No. 115)
One atom of each set of equivalent atoms:
Nd1 0.0000 0.5000 0.2350  8 Sb 3.25-3.35, 2 Cd 3.60
Cd1 0.5000 0.5000 0.5000  4 Sb 2.88
Sb1 0.0000 0.0000 0.0000  4 Sb 3.10, 4 Nd 3.35
Sb2 0.0000 0.5000 0.6737  2 Cd 2.88
Sb3 0.5000 0.5000 0.0000  4 Sb 3.10, 4 Nd 3.35

---

12.
Below is LiCaTcAg2 after structural relaxation, with properties calculated at the PBE level.

Computed properties:
Formation energy, eV/atom: 1.304

a b c (Å): 5.3485 5.3485 4.8750
angles (deg): 90.00 90.00 90.00
With the nearest neighbours (Å) after each atom.
Space group P4/mmm (No. 123)
One atom of each set of equivalent atoms:
Li1 0.0000 0.0000 0.0000  8 Ag 3.62, 4 Tc 3.78
Ca1 0.5000 0.5000 0.5000  2 Tc 2.44, 4 Ag 2.67
Tc1 0.5000 0.5000 0.0000  2 Ca 2.44
Ag1 0.0000 0.5000 0.5000  2 Ca 2.67